(1)
VASP calculation (PBE) on Ca2TlPb4 after structural relaxation.

Unit cell a=8.331 b=8.331 c=6.852 alpha=90.00 beta=90.00 gamma=77.67
Element x y z (fractional)
Ca 0.149 0.149 0.000
Ca 0.351 0.351 0.500
Ca 0.649 0.649 0.500
Ca 0.851 0.851 0.000
Tl 0.000 0.000 0.500
Tl 0.500 0.500 0.000
Pb 0.000 0.500 0.250
Pb 0.000 0.500 0.750
Pb 0.249 0.751 0.751
Pb 0.251 0.749 0.251
Pb 0.500 0.000 0.250
Pb 0.500 0.000 0.750
Pb 0.749 0.251 0.749
Pb 0.751 0.249 0.249

Results
* formation enthalpy at 0 K: -0.19 eV per atom
* energy: -3.218 eV/atom

=====

(2)
VASP calculation (PBE) on CaTl4Pb3 after structural relaxation.

Unit cell a=20.583 b=5.036 c=4.827 alpha=90.00 beta=102.68 gamma=90.00
Element x y z (fractional)
Ca 0.000 0.000 0.000
Ca 0.500 0.500 0.000
Tl 0.124 0.000 0.623
Tl 0.247 0.000 0.249
Tl 0.253 0.500 0.751
Tl 0.376 0.500 0.377
Tl 0.624 0.500 0.623
Tl 0.747 0.500 0.249
Tl 0.753 0.000 0.751
Tl 0.876 0.000 0.377
Pb 0.000 0.500 0.500
Pb 0.124 0.500 0.123
Pb 0.376 0.000 0.877
Pb 0.500 0.000 0.500
Pb 0.624 0.000 0.123
Pb 0.876 0.500 0.877

Results
* formation enthalpy at 0 K: -0.12 eV per atom
* energy: -2.948 eV/atom

=====

(3)
VASP calculation (PBE) on Ca2Tl8Pb after structural relaxation.

Unit cell a=7.959 b=7.959 c=7.813 alpha=109.98 beta=109.98 gamma=48.55
Element x y z (fractional)
Ca 0.157 0.157 0.280
Ca 0.843 0.843 0.720
Tl 0.177 0.655 0.112
Tl 0.246 0.246 0.755
Tl 0.345 0.823 0.888
Tl 0.394 0.394 0.516
Tl 0.606 0.606 0.484
Tl 0.655 0.177 0.112
Tl 0.754 0.754 0.245
Tl 0.823 0.345 0.888
Pb 0.000 0.000 0.500

Results
* formation enthalpy at 0 K: -0.10 eV per atom
* energy: -2.518 eV/atom

=====

(4)
VASP calculation (PBE) on CaTl2Pb2 after structural relaxation.

Unit cell a=5.205 b=5.205 c=22.907 alpha=90.00 beta=90.00 gamma=120.00
Element x y z (fractional)
Ca 0.000 0.000 0.000
Ca 0.333 0.667 0.667
Ca 0.667 0.333 0.333
Tl 0.000 0.000 0.274
Tl 0.000 0.000 0.726
Tl 0.333 0.667 0.392
Tl 0.333 0.667 0.941
Tl 0.667 0.333 0.059
Tl 0.667 0.333 0.608
Pb 0.000 0.000 0.430
Pb 0.000 0.000 0.570
Pb 0.333 0.667 0.097
Pb 0.333 0.667 0.237
Pb 0.667 0.333 0.763
Pb 0.667 0.333 0.903

Results
* formation enthalpy at 0 K: -0.05 eV per atom
* energy: -2.885 eV/atom

=====

(5)
VASP calculation (PBE) on Ca3Tl3Pb5 after structural relaxation.

Unit cell a=9.934 b=9.934 c=5.080 alpha=90.00 beta=90.00 gamma=120.00
Element x y z (fractional)
Ca 0.000 0.725 0.000
Ca 0.275 0.275 0.000
Ca 0.725 0.000 0.000
Tl 0.000 0.537 0.500
Tl 0.463 0.463 0.500
Tl 0.537 0.000 0.500
Pb 0.000 0.354 0.000
Pb 0.333 0.667 0.000
Pb 0.354 0.000 0.000
Pb 0.646 0.646 0.000
Pb 0.667 0.333 0.000

Results
* formation enthalpy at 0 K: 0.00 eV per atom
* energy: -2.875 eV/atom

=====

(6)
VASP calculation (PBE) on Ca8Tl2Pb after structural relaxation.

Unit cell a=9.485 b=9.485 c=9.485 alpha=147.02 beta=127.35 gamma=63.54
Element x y z (fractional)
Ca 0.122 0.343 0.780
Ca 0.154 0.154 0.000
Ca 0.301 0.000 0.301
Ca 0.437 0.657 0.780
Ca 0.563 0.343 0.220
Ca 0.699 0.000 0.699
Ca 0.846 0.846 0.000
Ca 0.878 0.657 0.220
Tl 0.311 0.811 0.500
Tl 0.689 0.189 0.500
Pb 0.000 0.500 0.500

Results
* formation enthalpy at 0 K: -0.29 eV per atom
* energy: -2.515 eV/atom